{
  "formula": "Sm2Ho12Er5",
  "functional": "PBE",
  "state": "optimized geometry",
  "lattice_angstrom": [[5.848, -1.245, 1.277], [-4.600, 9.244, -8.945], [1.427, -2.918, 15.039]],
  "species": ["Sm", "Sm", "Ho", "Ho", "Ho", "Ho", "Ho", "Ho", "Ho", "Ho", "Ho", "Ho", "Ho", "Ho", "Er", "Er", "Er", "Er", "Er"],
  "fractional_positions": [[0.630, 0.894, 0.974], [0.370, 0.106, 0.026], [0.054, 0.159, 0.291], [0.892, 0.682, 0.921], [0.156, 0.472, 0.868], [0.263, 0.790, 0.447], [0.527, 0.581, 0.395], [0.685, 0.052, 0.762], [0.315, 0.948, 0.238], [0.737, 0.210, 0.553], [0.473, 0.419, 0.605], [0.108, 0.318, 0.079], [0.844, 0.528, 0.132], [0.946, 0.841, 0.709], [0.209, 0.630, 0.656], [0.579, 0.737, 0.185], [0.000, 0.000, 0.500], [0.421, 0.263, 0.815], [0.791, 0.370, 0.344]],
  "relative_energy_mev_per_atom": 0.0,
  "rho_g_cm3": 8.8,
  "final_energy_ev_per_fu": -86.796,
  "formation_energy_mev_per_atom": 21
}

=====

{
  "formula": "AcNpZnO6",
  "functional": "PBE",
  "state": "optimized geometry",
  "lattice_angstrom": [[-5.458, 1.375, 2.099], [4.259, -1.956, 3.758], [2.518, 7.996, 1.309]],
  "species": ["Ac", "Ac", "Np", "Np", "Zn", "Zn", "O", "O", "O", "O", "O", "O", "O", "O", "O", "O", "O", "O"],
  "fractional_positions": [[0.333, 0.667, 0.250], [0.667, 0.333, 0.750], [0.667, 0.333, 0.250], [0.333, 0.667, 0.750], [0.000, 0.000, 0.000], [0.000, 0.000, 0.500], [0.694, 0.633, 0.122], [0.939, 0.306, 0.122], [0.306, 0.939, 0.622], [0.061, 0.694, 0.878], [0.367, 0.306, 0.378], [0.939, 0.633, 0.378], [0.633, 0.939, 0.878], [0.694, 0.061, 0.378], [0.061, 0.367, 0.622], [0.367, 0.061, 0.122], [0.633, 0.694, 0.622], [0.306, 0.367, 0.878]],
  "raw_formation_energy_ev_per_atom": -2.3284,
  "rho_g_cm3": 7.8,
  "final_energy_ev_per_fu": -69.028
}

=====

{
  "formula": "ErTl5Br8",
  "functional": "PBE",
  "state": "optimized geometry",
  "lattice_angstrom": [[7.884, 0.094, -2.576], [-4.166, 7.799, -2.761], [-0.025, -0.332, 8.215]],
  "species": ["Er", "Tl", "Tl", "Tl", "Tl", "Tl", "Br", "Br", "Br", "Br", "Br", "Br", "Br", "Br"],
  "fractional_positions": [[0.215, 0.682, 0.475], [0.832, 0.222, 0.847], [0.746, 0.619, 0.625], [0.405, 0.033, 0.155], [0.540, 0.569, 0.030], [0.040, 0.125, 0.406], [0.042, 0.750, 0.161], [0.256, 0.399, 0.261], [0.544, 0.855, 0.414], [0.131, 0.512, 0.705], [0.801, 0.411, 0.247], [0.132, 0.929, 0.685], [0.575, 0.865, 0.855], [0.490, 0.278, 0.634]],
  "raw_formation_energy_ev_per_atom": -1.1224,
  "rho_g_cm3": 6.1,
  "final_energy_ev_per_fu": -45.490
}